[1]
A plane-wave DFT calculation with PBE was carried out for crystalline La2NdNi at its relaxed geometry.

```
La2NdNi
1.0
3.779 0.000 0.000
1.889 3.272 0.000
1.889 1.091 10.543
Nd Ni La
1 1 2
direct
0.000 0.000 0.000
0.500 0.500 0.500
0.111 0.111 0.666
0.889 0.889 0.334
```

Properties
E above lowest polymorph	5.52	kcal/mol of atoms
calculated formation energy	0.0601	eV/atom
symmetry	No. 166
DOS(E_F)	1.56	states/eV per atom

[2]
A plane-wave DFT calculation with PBE was carried out for crystalline Hf3Sc4TiN8 at its relaxed geometry.

```
Hf3Sc4TiN8
1.0
6.345 0.000 0.000
0.000 6.363 0.008
-3.173 -3.170 4.489
Sc N Hf Ti
4 8 3 1
direct
0.000 0.000 0.000
0.000 0.000 0.500
0.500 0.000 0.000
0.500 0.000 0.500
0.754 0.257 0.507
0.754 0.257 0.003
0.750 0.743 0.997
0.246 0.743 0.997
0.252 0.255 0.503
0.246 0.743 0.493
0.748 0.745 0.497
0.250 0.257 0.003
0.500 0.500 0.000
0.000 0.500 0.500
0.500 0.500 0.500
0.000 0.500 0.000
```

Properties
energy relative to the elements, uncorrected	-1.887	eV per atom
symmetry	No. 166
DOS(E_F)	0.35	states/eV per atom